(1)
DFT (PBE) results for an optimized crystal structure of ZnAg4F6.

Unit cell a=6.6977 b=6.6977 c=7.2970 alpha=90.00 beta=90.00 gamma=90.00
With the nearest neighbours (Å) after each atom.
Fractional coordinates of all 22 atoms:
Zn (0.5000, 0.5000, 0.0000)  6 F 2.02-2.09
Zn (0.0000, 0.0000, 0.5000)  6 F 2.02-2.09
Ag (0.3473, 0.1527, 0.2500)  6 F 2.51-2.65
Ag (0.1527, 0.6527, 0.7500)  6 F 2.51-2.65
Ag (0.6527, 0.8473, 0.7500)  6 F 2.51-2.65
Ag (0.8473, 0.3473, 0.7500)  6 F 2.51-2.65
Ag (0.3473, 0.1527, 0.7500)  6 F 2.51-2.65
Ag (0.1527, 0.6527, 0.2500)  6 F 2.51-2.65
Ag (0.8473, 0.3473, 0.2500)  6 F 2.51-2.65
Ag (0.6527, 0.8473, 0.2500)  6 F 2.51-2.65
F (0.2960, 0.9011, 0.5000)  1 Zn 2.09
F (0.7960, 0.5989, 0.0000)  1 Zn 2.09
F (0.5989, 0.2040, 0.0000)  1 Zn 2.09
F (0.0989, 0.2960, 0.5000)  1 Zn 2.09
F (0.0000, 0.0000, 0.2229)  1 Zn 2.02
F (0.5000, 0.5000, 0.2771)  1 Zn 2.02
F (0.4011, 0.7960, 0.0000)  1 Zn 2.09
F (0.0000, 0.0000, 0.7771)  1 Zn 2.02
F (0.2040, 0.4011, 0.0000)  1 Zn 2.09
F (0.5000, 0.5000, 0.7229)  1 Zn 2.02
F (0.9011, 0.7040, 0.5000)  1 Zn 2.09
F (0.7040, 0.0989, 0.5000)  1 Zn 2.09

VASP energy	-76.12	eV for the cell shown


(2)
DFT (PBE) results for an optimized crystal structure of Zn2AgF.

Unit cell a=6.4278 b=6.4278 c=5.5053 alpha=54.28 beta=54.28 gamma=90.00
With the nearest neighbours (Å) after each atom.
Fractional coordinates of all 8 atoms:
Zn (0.5787, 0.1250, 0.2500)  2 F 2.21
Zn (0.1713, 0.6250, 0.2500)  2 F 2.21
Zn (0.3750, 0.4213, 0.7500)  2 F 2.21
Zn (0.8750, 0.8287, 0.7500)  2 F 2.21
Ag (0.0000, 0.0000, 0.0000)  4 Zn 2.61
Ag (0.7500, 0.2500, 0.5000)  4 Zn 2.61
F (0.5000, 0.5000, 0.0000)  4 Zn 2.21
F (0.2500, 0.7500, 0.5000)  4 Zn 2.21

VASP energy	-18.99	eV for the cell shown
energy above the most stable polymorph in this dataset	0	meV/atom


(3)
DFT (PBE) results for an optimized crystal structure of Zn2Ag3F8.

Unit cell a=5.8369 b=7.0921 c=7.0921 alpha=54.81 beta=65.58 gamma=65.58
With the nearest neighbours (Å) after each atom.
Fractional coordinates of all 13 atoms:
Zn (0.9637, 0.2637, 0.2637)  6 F 2.04-2.14
Zn (0.0363, 0.7363, 0.7363)  6 F 2.04-2.14
Ag (0.5000, 0.0000, 0.0000)  4 F 2.37
Ag (0.0000, 0.2350, 0.7650)  4 F 2.23-2.27
Ag (0.0000, 0.7650, 0.2350)  4 F 2.23-2.27
F (0.8695, 0.6256, 0.6256)  1 Zn 2.04, 2 Ag 2.23
F (0.1305, 0.3744, 0.3744)  1 Zn 2.04, 2 Ag 2.23
F (0.8079, 0.1483, 0.1483)  1 Zn 2.04, 2 Ag 2.27
F (0.1921, 0.8517, 0.8517)  1 Zn 2.04, 2 Ag 2.27
F (0.7775, 0.6198, 0.0812)  2 Zn 2.09-2.14
F (0.7775, 0.0812, 0.6198)  2 Zn 2.09-2.14
F (0.2225, 0.9188, 0.3802)  2 Zn 2.09-2.14
F (0.2225, 0.3802, 0.9188)  2 Zn 2.09-2.14

VASP energy	-46.58	eV for the cell shown


(4)
DFT (PBE) results for an optimized crystal structure of Zn3Ag2F8.

Unit cell a=5.3807 b=6.4229 c=6.4229 alpha=59.91 beta=93.00 gamma=93.00
With the nearest neighbours (Å) after each atom.
Fractional coordinates of all 13 atoms:
Zn (0.5000, 0.0000, 0.0000)  6 F 2.04-2.09
Zn (0.0000, 0.7413, 0.2587)  6 F 2.04-2.18
Zn (0.0000, 0.2587, 0.7413)  6 F 2.04-2.18
Ag (0.5261, 0.7177, 0.7177)  4 F 2.36-2.51
Ag (0.4739, 0.2823, 0.2823)  4 F 2.36-2.51
F (0.8569, 0.3976, 0.3976)  2 Zn 2.04
F (0.1431, 0.6024, 0.6024)  2 Zn 2.04
F (0.8194, 0.9017, 0.9017)  3 Zn 2.09-2.18
F (0.1806, 0.0983, 0.0983)  3 Zn 2.09-2.18
F (0.6950, 0.3200, 0.8759)  2 Zn 2.04
F (0.6950, 0.8759, 0.3200)  2 Zn 2.04
F (0.3050, 0.1241, 0.6800)  2 Zn 2.04
F (0.3050, 0.6800, 0.1241)  2 Zn 2.04

VASP energy	-48.87	eV for the cell shown


(5)
DFT (PBE) results for an optimized crystal structure of ZnAgF4.

Unit cell a=5.4708 b=5.7284 c=6.4637 alpha=64.60 beta=64.96 gamma=90.00
With the nearest neighbours (Å) after each atom.
Fractional coordinates of all 12 atoms:
Zn (0.0000, 0.0000, 0.5000)  4 F 1.99-2.00
Zn (0.5000, 0.5000, 0.5000)  4 F 1.99-2.00
Ag (0.2500, 0.7500, 0.0000)  4 F 2.15
Ag (0.7500, 0.2500, 0.0000)  4 F 2.15
F (0.3609, 0.9684, 0.2631)  1 Zn 1.99, 1 Ag 2.15
F (0.6240, 0.5316, 0.7369)  1 Zn 1.99, 1 Ag 2.15
F (0.6391, 0.0316, 0.7369)  1 Zn 1.99, 1 Ag 2.15
F (0.3760, 0.4684, 0.2631)  1 Zn 1.99, 1 Ag 2.15
F (0.8672, 0.9620, 0.2683)  1 Zn 2.00, 1 Ag 2.15
F (0.1356, 0.5380, 0.7316)  1 Zn 2.00, 1 Ag 2.15
F (0.1328, 0.0380, 0.7317)  1 Zn 2.00, 1 Ag 2.15
F (0.8644, 0.4620, 0.2684)  1 Zn 2.00, 1 Ag 2.15

VASP energy	-42.78	eV for the cell shown
energy above the most stable polymorph in this dataset	64	meV/atom


(6)
DFT (PBE) results for an optimized crystal structure of ZnAgF5.

Unit cell a=5.6197 b=5.6201 c=8.2871 alpha=112.05 beta=112.05 gamma=83.09
With the nearest neighbours (Å) after each atom.
Fractional coordinates of all 14 atoms:
Zn (0.9029, 0.5969, 0.2500)  4 F 1.93
Zn (0.0971, 0.4031, 0.7500)  4 F 1.93
Ag (0.5000, 0.0000, 0.0000)  6 F 2.08-2.13
Ag (0.5000, 0.0000, 0.5000)  6 F 2.08-2.13
F (0.7356, 0.6817, 0.0282)  1 Zn 1.93, 1 Ag 2.13
F (0.2676, 0.6659, 0.3470)  1 Zn 1.93, 1 Ag 2.10
F (0.4690, 0.0312, 0.2500)  2 Ag 2.08
F (0.8182, 0.7643, 0.4718)  1 Zn 1.93, 1 Ag 2.13
F (0.1818, 0.2357, 0.5282)  1 Zn 1.93, 1 Ag 2.13
F (0.8342, 0.2324, 0.1529)  1 Zn 1.93, 1 Ag 2.10
F (0.1658, 0.7676, 0.8471)  1 Zn 1.93, 1 Ag 2.10
F (0.5310, 0.9688, 0.7500)  2 Ag 2.08
F (0.7324, 0.3341, 0.6530)  1 Zn 1.93, 1 Ag 2.10
F (0.2644, 0.3183, 0.9718)  1 Zn 1.93, 1 Ag 2.13

VASP energy	-47.90	eV for the cell shown
energy above the most stable polymorph in this dataset	30	meV/atom


(7)
DFT (PBE) results for an optimized crystal structure of ZnAg2F8.

Unit cell a=4.1950 b=6.6003 c=6.6043 alpha=120.03 beta=90.00 gamma=90.01
With the nearest neighbours (Å) after each atom.
Fractional coordinates of all 11 atoms:
Zn (0.0000, 0.0000, 0.0000)  6 F 1.99
Ag (0.2396, 0.3331, 0.6666)  5 F 2.10-2.11
Ag (0.7604, 0.6669, 0.3334)  5 F 2.10-2.11
F (0.2601, 0.6669, 0.3334)  2 Ag 2.10
F (0.7399, 0.3331, 0.6666)  2 Ag 2.10
F (0.7527, 0.8498, 0.1476)  1 Zn 1.99, 1 Ag 2.11
F (0.2473, 0.1480, 0.2979)  1 Zn 1.99, 1 Ag 2.11
F (0.2473, 0.7022, 0.8499)  1 Zn 1.99, 1 Ag 2.11
F (0.2473, 0.1502, 0.8524)  1 Zn 1.99, 1 Ag 2.11
F (0.7527, 0.8520, 0.7021)  1 Zn 1.99, 1 Ag 2.11
F (0.7527, 0.2978, 0.1501)  1 Zn 1.99, 1 Ag 2.11

VASP energy	-34.79	eV for the cell shown


(8)
DFT (PBE) results for an optimized crystal structure of ZnAg3F8.

Unit cell a=4.2469 b=7.1432 c=7.4324 alpha=106.78 beta=106.60 gamma=90.00
With the nearest neighbours (Å) after each atom.
Fractional coordinates of all 12 atoms:
Zn (0.2969, 0.6910, 0.5938)  5 F 1.95-2.16
Ag (0.3890, 0.2686, 0.7781)  4 F 2.09-2.20
Ag (0.7027, 0.3166, 0.4054)  5 F 2.08-2.28
Ag (0.5967, 0.7175, 0.1934)  2 F 2.03-2.07
F (0.4136, 0.5872, 0.8272)  1 Zn 2.01, 1 Ag 2.20
F (0.3729, 0.9675, 0.7458)  1 Zn 1.95, 1 Ag 2.09
F (0.8721, 0.2672, 0.7442)  2 Ag 2.14
F (0.2184, 0.3574, 0.4368)  2 Ag 2.15, 1 Zn 2.31
F (0.7773, 0.6399, 0.5546)  2 Zn 2.16, 1 Ag 2.23
F (0.1607, 0.7276, 0.3214)  1 Zn 2.03
F (0.5643, 0.4144, 0.1286)  2 Ag 2.07-2.28
F (0.6337, 0.0147, 0.2673)  2 Ag 2.03-2.08

VASP energy	-41.33	eV for the cell shown


(9)
DFT (PBE) results for an optimized crystal structure of ZnAgF5.

Unit cell a=5.8839 b=5.1645 c=7.4657 alpha=92.34 beta=104.57 gamma=104.32
With the nearest neighbours (Å) after each atom.
Fractional coordinates of all 14 atoms:
Zn (0.2041, 0.5265, 0.6957)  6 F 1.96-2.13
Zn (0.7988, 0.4782, 0.3037)  6 F 1.96-2.13
Ag (0.0018, 0.0026, 0.9998)  4 F 1.97-2.01
Ag (0.5015, 0.0024, 0.4997)  4 F 1.99-2.07
F (0.4838, 0.1872, 0.2578)  1 Zn 2.02, 1 Ag 2.07
F (0.5192, 0.8174, 0.7416)  1 Zn 2.02, 1 Ag 2.07
F (0.6178, 0.7246, 0.3835)  1 Ag 1.99, 1 Zn 2.01
F (0.9466, 0.1995, 0.2095)  1 Ag 1.97, 1 Zn 2.04
F (0.8121, 0.6588, 0.0667)  1 Ag 2.00, 1 Zn 2.04
F (0.1252, 0.6985, 0.4403)  2 Zn 1.96-2.13
F (0.1912, 0.3465, 0.9328)  1 Ag 2.01, 1 Zn 2.04
F (0.8777, 0.3063, 0.5591)  2 Zn 1.96-2.13
F (0.0571, 0.8058, 0.7902)  1 Ag 1.97, 1 Zn 2.04
F (0.3856, 0.2804, 0.6161)  1 Ag 1.99, 1 Zn 2.01

VASP energy	-48.32	eV for the cell shown
energy above the most stable polymorph in this dataset	0	meV/atom


(10)
DFT (PBE) results for an optimized crystal structure of Zn3Ag5F12.

Unit cell a=3.2159 b=9.9555 c=9.9555 alpha=120.00 beta=90.00 gamma=90.00
With the nearest neighbours (Å) after each atom.
Fractional coordinates of all 20 atoms:
Zn (0.5000, 0.6562, 0.0000)  6 F 2.04-2.16
Zn (0.5000, 0.3438, 0.3438)  6 F 2.04-2.16
Zn (0.5000, 0.0000, 0.6562)  6 F 2.04-2.16
Ag (0.0000, 0.3333, 0.6667)  6 F 2.50
Ag (0.0000, 0.6667, 0.3333)  6 F 2.50
Ag (0.0000, 0.2710, 0.0000)  7 F 2.42-2.57
Ag (0.0000, 0.7290, 0.7290)  7 F 2.42-2.57
Ag (0.0000, 0.0000, 0.2710)  7 F 2.42-2.57
F (0.0000, 0.8006, 0.0000)  2 Zn 2.16
F (0.0000, 0.1994, 0.1994)  2 Zn 2.16
F (0.0000, 0.0000, 0.8006)  2 Zn 2.16
F (0.0000, 0.5290, 0.0000)  2 Zn 2.05
F (0.0000, 0.4710, 0.4710)  2 Zn 2.05
F (0.0000, 0.0000, 0.5290)  2 Zn 2.05
F (0.5000, 0.2095, 0.4452)  1 Zn 2.04
F (0.5000, 0.2357, 0.7905)  1 Zn 2.04
F (0.5000, 0.7905, 0.2357)  1 Zn 2.04
F (0.5000, 0.5548, 0.7643)  1 Zn 2.04
F (0.5000, 0.7643, 0.5548)  1 Zn 2.04
F (0.5000, 0.4452, 0.2095)  1 Zn 2.04

VASP energy	-72.51	eV for the cell shown


(11)
DFT (PBE) results for an optimized crystal structure of Zn4AgF2.

Unit cell a=4.9611 b=4.9611 c=7.7317 alpha=71.29 beta=71.29 gamma=90.00
With the nearest neighbours (Å) after each atom.
Fractional coordinates of all 7 atoms:
Zn (0.8238, 0.8238, 0.3524)  1 F 1.84
Zn (0.1762, 0.1762, 0.6476)  1 F 1.84
Zn (0.0000, 0.5000, 0.0000)  2 Ag 2.48
Zn (0.5000, 0.0000, 0.0000)  2 Ag 2.48
Ag (0.0000, 0.0000, 0.0000)  6 Zn 2.43-2.48
F (0.6902, 0.6902, 0.6196)  1 Zn 1.84
F (0.3098, 0.3098, 0.3804)  1 Zn 1.84

VASP energy	-15.84	eV for the cell shown


(12)
DFT (PBE) results for an optimized crystal structure of Zn2Ag4F9.

Unit cell a=5.8393 b=5.8487 c=15.4646 alpha=94.97 beta=90.07 gamma=60.00
With the nearest neighbours (Å) after each atom.
Fractional coordinates of all 30 atoms:
Zn (0.0072, 0.0112, 0.3483)  6 F 2.00-2.23
Zn (0.0185, 0.9886, 0.1518)  6 F 2.00-2.22
Zn (0.9928, 0.9888, 0.6517)  6 F 2.00-2.23
Zn (0.9815, 0.0114, 0.8482)  6 F 2.00-2.22
Ag (0.2914, 0.3580, 0.9800)  4 F 2.27-2.48
Ag (0.3510, 0.3576, 0.4799)  4 F 2.27-2.48
Ag (0.7086, 0.6420, 0.0200)  4 F 2.27-2.48
Ag (0.3552, 0.3243, 0.1880)  5 F 2.31-2.49
Ag (0.6490, 0.6424, 0.5201)  4 F 2.27-2.48
Ag (0.6803, 0.6751, 0.3120)  5 F 2.31-2.49
Ag (0.3197, 0.3249, 0.6880)  5 F 2.31-2.49
Ag (0.6448, 0.6757, 0.8120)  5 F 2.31-2.49
F (0.9925, 0.2717, 0.7536)  2 Zn 2.18-2.22, 2 Ag 2.31-2.33
F (0.2649, 0.7277, 0.7465)  2 Zn 2.19-2.23, 2 Ag 2.31-2.33
F (0.7393, 0.9998, 0.7498)  2 Zn 2.10
F (0.0075, 0.7283, 0.2464)  2 Zn 2.18-2.22, 2 Ag 2.31-2.33
F (0.7351, 0.2723, 0.2535)  2 Zn 2.19-2.23, 2 Ag 2.31-2.33
F (0.2607, 0.0002, 0.2502)  2 Zn 2.10
F (0.6932, 0.0070, 0.4019)  1 Zn 2.03, 1 Ag 2.27
F (0.9760, 0.3292, 0.4202)  1 Zn 2.01
F (0.3209, 0.7216, 0.4004)  1 Zn 2.00
F (0.7002, 0.9930, 0.0979)  1 Zn 2.03, 1 Ag 2.27
F (0.3053, 0.6707, 0.0799)  1 Zn 2.01
F (0.0422, 0.2783, 0.0999)  1 Zn 2.00
F (0.3068, 0.9930, 0.5981)  1 Zn 2.03, 1 Ag 2.27
F (0.0240, 0.6708, 0.5798)  1 Zn 2.01
F (0.6791, 0.2784, 0.5996)  1 Zn 2.00
F (0.2998, 0.0070, 0.9021)  1 Zn 2.03, 1 Ag 2.27
F (0.6947, 0.3293, 0.9201)  1 Zn 2.01
F (0.9578, 0.7217, 0.9001)  1 Zn 2.00

VASP energy	-107.46	eV for the cell shown